1.
DFT (PBE) results for crystalline CuOsRu2 at its relaxed geometry.

Output
Its density of states at the Fermi level is 6.05 states/eV/cell. The calculation puts the final energy at -7.94 eV per atom. As for the symmetry: Pmmm. The calculated formation energy comes out at 0.533 eV per atom.

Unit cell a=2.7335 b=4.5178 c=4.5109 alpha=90.00 beta=90.00 gamma=90.00
Last column: nearest neighbours and their distance in Å.
Element x y z (fractional)
Ru 0.0000 0.0000 0.0000  4 Cu 2.64, 6 Ru 2.64-2.73
Os 0.0000 0.5000 0.5000  4 Ru 2.64, 4 Cu 2.64, 2 Os 2.73
Ru 0.5000 0.5000 0.0000  4 Os 2.64, 6 Ru 2.64-2.73
Cu 0.5000 0.0000 0.5000  4 Ru 2.64, 4 Os 2.64, 2 Cu 2.73


2.
DFT (PBE) results for crystalline YBeB2Cl at its relaxed geometry.

Output
Its density of states at the Fermi level is 2.34 states/eV/cell. The calculation puts the final energy at -4.78 eV per atom. Its energy relative to the elements, uncorrected is 0.296 eV/atom. As for the symmetry: P4/mmm.

Unit cell a=3.6829 b=5.4656 c=3.6829 alpha=90.00 beta=90.00 gamma=90.00
Last column: nearest neighbours and their distance in Å.
Element x y z (fractional)
Cl 0.5000 0.5000 0.5000  4 Y 2.60
B 0.5000 0.0000 0.0000  2 Be 1.84
Be 0.0000 0.0000 0.0000  4 B 1.84
B 0.0000 0.0000 0.5000  2 Be 1.84
Y 0.0000 0.5000 0.0000  4 Cl 2.60, 2 Be 2.73


3.
DFT (PBE) results for crystalline YCo2Ag at its relaxed geometry.

Output
Its density of states at the Fermi level is 6.43 states/eV/cell. The calculation puts the final energy at -5.64 eV per atom. As for the symmetry: Fm-3m. The calculated formation energy comes out at 0.239 eV per atom.

Unit cell a=4.5178 b=4.5178 c=4.5178 alpha=60.00 beta=60.00 gamma=60.00
Last column: nearest neighbours and their distance in Å.
Element x y z (fractional)
Co 0.7500 0.7500 0.7500  4 Ag 2.77, 4 Y 2.77
Ag 0.5000 0.5000 0.5000  8 Co 2.77
Y 0.0000 0.0000 0.0000  8 Co 2.77
Co 0.2500 0.2500 0.2500  4 Ag 2.77, 4 Y 2.77